Entry 1:
# AsPRu2

A geometry-optimized AsPRu2 structure (PBE-GGA, the Alexandria database).

## Properties
Magnetic moment: 0.000 μB per atom
Energy above the most stable polymorph in this dataset: 152 meV per atom
Raw total energy: -58.3 eV for the cell shown
DFT formation energy: -0.14 eV per atom

Cell and atoms, written as CIF:
```
data_AsPRu2
_chemical_formula_sum 'As2 P2 Ru4'
_symmetry_space_group_name_H-M 'C 1 2/m 1'
_symmetry_Int_Tables_number 12
_symmetry_space_group_name_Hall '-C 2y'
_cell_length_a 7.672
_cell_length_b 2.936
_cell_length_c 5.141
_cell_angle_alpha 90.00
_cell_angle_beta 102.98
_cell_angle_gamma 90.00
loop_
_atom_site_label
_atom_site_type_symbol
_atom_site_fract_x
_atom_site_fract_y
_atom_site_fract_z
As1 As 0.000 0.000 0.000
P1 P 0.000 0.500 0.500
Ru1 Ru 0.244 0.000 0.734
```


Entry 2:
# LaPm4Dy2Tm2

A geometry-optimized LaPm4Dy2Tm2 structure (PBE-GGA, the Alexandria database).

## Properties
Magnetic moment: 0.000 μB per atom
Raw total energy: -83.7 eV for the cell shown
DFT formation energy: 0.02 eV per atom

Cell and atoms, written as CIF:
```
data_LaPm4Dy2Tm2
_chemical_formula_sum 'La2 Pm8 Dy4 Tm4'
_symmetry_space_group_name_H-M 'C 1 2/m 1'
_symmetry_Int_Tables_number 12
_symmetry_space_group_name_Hall '-C 2y'
_cell_length_a 15.287
_cell_length_b 5.086
_cell_length_c 8.055
_cell_angle_alpha 90.00
_cell_angle_beta 108.23
_cell_angle_gamma 90.00
loop_
_atom_site_label
_atom_site_type_symbol
_atom_site_fract_x
_atom_site_fract_y
_atom_site_fract_z
La1 La 0.000 0.000 0.000
Pm1 Pm 0.055 0.500 0.333
Pm2 Pm 0.223 0.000 0.331
Dy1 Dy 0.112 0.000 0.666
Tm1 Tm 0.169 0.500 0.999
```


Entry 3:
# CsMgAgI4

A geometry-optimized CsMgAgI4 structure (PBE-GGA, the Alexandria database).

## Properties
Magnetic moment: 0.000 μB per atom
Raw total energy: -36.3 eV for the cell shown
Uncorrected formation energy: -642 kJ/mol of formula units

Cell and atoms, written as CIF:
```
data_CsMgAgI4
_chemical_formula_sum 'Cs2 Mg2 Ag2 I8'
_symmetry_space_group_name_H-M 'P 1 21/m 1'
_symmetry_Int_Tables_number 11
_symmetry_space_group_name_Hall '-P 2yb'
_cell_length_a 7.141
_cell_length_b 8.828
_cell_length_c 10.532
_cell_angle_alpha 90.00
_cell_angle_beta 104.65
_cell_angle_gamma 90.00
loop_
_atom_site_label
_atom_site_type_symbol
_atom_site_fract_x
_atom_site_fract_y
_atom_site_fract_z
Cs1 Cs 0.242 0.250 0.083
Mg1 Mg 0.184 0.750 0.316
Ag1 Ag 0.312 0.250 0.680
I1 I 0.065 0.006 0.723
I2 I 0.336 0.750 0.095
I3 I 0.499 0.250 0.474
```


Entry 4:
# YHo2Tm8

A geometry-optimized YHo2Tm8 structure (PBE-GGA, the Alexandria database).

## Properties
Magnetic moment: 0.000 μB per atom
Energy above the most stable polymorph in this dataset: 33 meV per atom
Raw total energy: -99.3 eV for the cell shown
DFT formation energy: 0.16 eV per atom

Cell and atoms, written as CIF:
```
data_YHo2Tm8
_chemical_formula_sum 'Y2 Ho4 Tm16'
_symmetry_space_group_name_H-M 'C 1 2/m 1'
_symmetry_Int_Tables_number 12
_symmetry_space_group_name_Hall '-C 2y'
_cell_length_a 9.060
_cell_length_b 16.644
_cell_length_c 5.841
_cell_angle_alpha 90.00
_cell_angle_beta 128.26
_cell_angle_gamma 90.00
loop_
_atom_site_label
_atom_site_type_symbol
_atom_site_fract_x
_atom_site_fract_y
_atom_site_fract_z
Y1 Y 0.000 0.000 0.000
Ho1 Ho 0.000 0.311 0.500
Tm1 Tm 0.000 0.202 0.000
Tm2 Tm 0.033 0.500 0.772
Tm3 Tm 0.225 0.128 0.713
```


Entry 5:
# Tb2Sc3Tl

A geometry-optimized Tb2Sc3Tl structure (PBE-GGA, the Alexandria database).

## Properties
Magnetic moment: 0.000 μB per atom
Energy above the most stable polymorph in this dataset: 0 meV per atom
Raw total energy: -61.8 eV for the cell shown
DFT formation energy: -0.04 eV per atom

Cell and atoms, written as CIF:
```
data_Tb2Sc3Tl
_chemical_formula_sum 'Tb4 Sc6 Tl2'
_symmetry_space_group_name_H-M 'C m m m'
_symmetry_Int_Tables_number 65
_symmetry_space_group_name_Hall '-C 2 2'
_cell_length_a 3.735
_cell_length_b 16.417
_cell_length_c 5.207
_cell_angle_alpha 90.00
_cell_angle_beta 90.00
_cell_angle_gamma 90.00
loop_
_atom_site_label
_atom_site_type_symbol
_atom_site_fract_x
_atom_site_fract_y
_atom_site_fract_z
Tb1 Tb 0.000 0.163 0.000
Sc1 Sc 0.000 0.000 0.500
Sc2 Sc 0.000 0.327 0.500
Tl1 Tl 0.000 0.500 0.000
```


Entry 6:
# RbTaBiS4

A geometry-optimized RbTaBiS4 structure (PBE-GGA, the Alexandria database).

## Properties
Magnetic moment: 0.016 μB per atom
Raw total energy: -77.1 eV for the cell shown
Uncorrected formation energy: -516 kJ/mol of formula units

Cell and atoms, written as CIF:
```
data_RbTaBiS4
_chemical_formula_sum 'Rb2 Ta2 Bi2 S8'
_symmetry_space_group_name_H-M 'P 1 21/m 1'
_symmetry_Int_Tables_number 11
_symmetry_space_group_name_Hall '-P 2yb'
_cell_length_a 6.920
_cell_length_b 7.178
_cell_length_c 9.363
_cell_angle_alpha 90.00
_cell_angle_beta 108.19
_cell_angle_gamma 90.00
loop_
_atom_site_label
_atom_site_type_symbol
_atom_site_fract_x
_atom_site_fract_y
_atom_site_fract_z
Rb1 Rb 0.214 0.250 0.422
Ta1 Ta 0.296 0.750 0.194
Bi1 Bi 0.217 0.250 0.931
S1 S 0.077 0.750 0.339
S2 S 0.087 0.750 0.947
S3 S 0.499 0.502 0.765
```


Entry 7:
# NiI3Cl

A geometry-optimized NiI3Cl structure (PBE-GGA, the Alexandria database).

## Properties
Magnetic moment: 0.245 μB per atom
Energy above the most stable polymorph in this dataset: 1044 meV per atom
Raw total energy: -7.4 eV for the cell shown
Uncorrected formation energy: 472 kJ/mol of formula units

Cell and atoms, written as CIF:
```
data_NiI3Cl
_chemical_formula_sum 'Ni1 I3 Cl1'
_symmetry_space_group_name_H-M 'P m -3 m'
_symmetry_Int_Tables_number 221
_symmetry_space_group_name_Hall '-P 4 2 3'
_cell_length_a 5.725
_cell_length_b 5.725
_cell_length_c 5.725
_cell_angle_alpha 90.00
_cell_angle_beta 90.00
_cell_angle_gamma 90.00
loop_
_atom_site_label
_atom_site_type_symbol
_atom_site_fract_x
_atom_site_fract_y
_atom_site_fract_z
Ni1 Ni 0.000 0.000 0.000
I1 I 0.000 0.500 0.500
Cl1 Cl 0.500 0.500 0.500
```


Entry 8:
# BaMoIr

A geometry-optimized BaMoIr structure (PBE-GGA, the Alexandria database).

## Properties
Magnetic moment: 0.000 μB per atom
Energy above the most stable polymorph in this dataset: 673 meV per atom
Raw total energy: -18.7 eV for the cell shown
DFT formation energy: 0.96 eV per atom

Cell and atoms, written as CIF:
```
data_BaMoIr
_chemical_formula_sum 'Ba1 Mo1 Ir1'
_symmetry_space_group_name_H-M 'P 3 m 1'
_symmetry_Int_Tables_number 156
_symmetry_space_group_name_Hall 'P 3 -2"'
_cell_length_a 3.1029
_cell_length_b 3.1029
_cell_length_c 7.8671
_cell_angle_alpha 90.00
_cell_angle_beta 90.00
_cell_angle_gamma 120.00
loop_
_atom_site_label
_atom_site_type_symbol
_atom_site_fract_x
_atom_site_fract_y
_atom_site_fract_z
Ba1 Ba 0.0000 0.0000 0.0000
Mo1 Mo 0.3333 0.6667 0.6093
Ir1 Ir 0.6667 0.3333 0.3700
```


Entry 9:
# LiCd2Pt5

A geometry-optimized LiCd2Pt5 structure (PBE-GGA, the Alexandria database).

## Properties
Magnetic moment: 0.000 μB per atom
Raw total energy: -73.0 eV for the cell shown
DFT formation energy: -0.32 eV per atom

Cell and atoms, written as CIF:
```
data_LiCd2Pt5
_chemical_formula_sum 'Li2 Cd4 Pt10'
_symmetry_space_group_name_H-M 'P b a m'
_symmetry_Int_Tables_number 55
_symmetry_space_group_name_Hall '-P 2 2ab'
_cell_length_a 5.653
_cell_length_b 11.371
_cell_length_c 4.033
_cell_angle_alpha 90.00
_cell_angle_beta 90.00
_cell_angle_gamma 90.00
loop_
_atom_site_label
_atom_site_type_symbol
_atom_site_fract_x
_atom_site_fract_y
_atom_site_fract_z
Li1 Li 0.000 0.000 0.000
Cd1 Cd 0.233 0.120 0.500
Pt1 Pt 0.000 0.500 0.000
Pt2 Pt 0.019 0.751 0.000
Pt3 Pt 0.238 0.373 0.500
```


Entry 10:
# As2AuCBr

A geometry-optimized As2AuCBr structure (PBE-GGA, the Alexandria database).

## Properties
Magnetic moment: 0.093 μB per atom
Energy above the most stable polymorph in this dataset: 796 meV per atom
Raw total energy: -13.4 eV for the cell shown
Uncorrected formation energy: 973 kJ/mol of formula units

Cell and atoms, written as CIF:
```
data_As2AuCBr
_chemical_formula_sum 'As2 Au1 C1 Br1'
_symmetry_space_group_name_H-M 'P 4/m m m'
_symmetry_Int_Tables_number 123
_symmetry_space_group_name_Hall '-P 4 2'
_cell_length_a 5.073
_cell_length_b 5.073
_cell_length_c 5.274
_cell_angle_alpha 90.00
_cell_angle_beta 90.00
_cell_angle_gamma 90.00
loop_
_atom_site_label
_atom_site_type_symbol
_atom_site_fract_x
_atom_site_fract_y
_atom_site_fract_z
As1 As 0.000 0.500 0.000
Au1 Au 0.000 0.000 0.000
C1 C 0.500 0.500 0.500
Br1 Br 0.000 0.000 0.500
```


Entry 11:
# Tl2Pd2PtSe2

A geometry-optimized Tl2Pd2PtSe2 structure (PBE-GGA, the Alexandria database).

## Properties
Magnetic moment: 0.000 μB per atom
Raw total energy: -59.9 eV for the cell shown
Uncorrected formation energy: -178 kJ/mol of formula units

Cell and atoms, written as CIF:
```
data_Tl2Pd2PtSe2
_chemical_formula_sum 'Tl4 Pd4 Pt2 Se4'
_symmetry_space_group_name_H-M 'C 1 2/m 1'
_symmetry_Int_Tables_number 12
_symmetry_space_group_name_Hall '-C 2y'
_cell_length_a 12.079
_cell_length_b 4.499
_cell_length_c 8.842
_cell_angle_alpha 90.00
_cell_angle_beta 131.48
_cell_angle_gamma 90.00
loop_
_atom_site_label
_atom_site_type_symbol
_atom_site_fract_x
_atom_site_fract_y
_atom_site_fract_z
Tl1 Tl 0.208 0.000 0.133
Pd1 Pd 0.163 0.000 0.422
Pt1 Pt 0.000 0.500 0.000
Se1 Se 0.048 0.500 0.317
```


Entry 12:
# Mn2CoPt

A geometry-optimized Mn2CoPt structure (PBE-GGA, the Alexandria database).

## Properties
Magnetic moment: 0.826 μB per atom
Raw total energy: -31.6 eV for the cell shown
DFT formation energy: -0.03 eV per atom

Cell and atoms, written as CIF:
```
data_Mn2CoPt
_chemical_formula_sum 'Mn2 Co1 Pt1'
_symmetry_space_group_name_H-M 'P m m m'
_symmetry_Int_Tables_number 47
_symmetry_space_group_name_Hall '-P 2 2'
_cell_length_a 2.622
_cell_length_b 3.589
_cell_length_c 5.191
_cell_angle_alpha 90.00
_cell_angle_beta 90.00
_cell_angle_gamma 90.00
loop_
_atom_site_label
_atom_site_type_symbol
_atom_site_fract_x
_atom_site_fract_y
_atom_site_fract_z
Mn1 Mn 0.000 0.000 0.223
Co1 Co 0.500 0.500 0.000
Pt1 Pt 0.500 0.500 0.500
```


Entry 13:
# Na2TlInSn

A geometry-optimized Na2TlInSn structure (PBE-GGA, the Alexandria database).

## Properties
Magnetic moment: 0.000 μB per atom
Raw total energy: -47.6 eV for the cell shown
DFT formation energy: -0.03 eV per atom

Cell and atoms, written as CIF:
```
data_Na2TlInSn
_chemical_formula_sum 'Na8 Tl4 In4 Sn4'
_symmetry_space_group_name_H-M 'C m c m'
_symmetry_Int_Tables_number 63
_symmetry_space_group_name_Hall '-C 2c 2'
_cell_length_a 3.649
_cell_length_b 14.768
_cell_length_c 10.930
_cell_angle_alpha 90.00
_cell_angle_beta 90.00
_cell_angle_gamma 90.00
loop_
_atom_site_label
_atom_site_type_symbol
_atom_site_fract_x
_atom_site_fract_y
_atom_site_fract_z
Na1 Na 0.000 0.197 0.106
Tl1 Tl 0.000 0.000 0.000
In1 In 0.000 0.474 0.750
Sn1 Sn 0.000 0.144 0.750
```